(1)
The following is a DFT calculation (PBE-GGA) of an optimized crystal structure of Ta2TiCdPb.

Geometry as POSCAR:
```
Ta2TiCdPb
1.0
-3.5341 -3.0924 1.0052
3.4571 -3.9892 -0.1181
0.8287 0.5791 4.6948
Ti Pb Ta Cd
1 1 2 1
Direct
0.0000 0.0000 0.0000 Ti
0.0000 0.5000 0.0000 Pb
0.5000 0.0000 0.0000 Ta
0.0000 0.0000 0.5000 Ta
0.5000 0.5000 0.5000 Cd
```

Energy (eV per atom): -6.026
Formation energy from the elements (eV per atom): 1.219
Mass density (g/cm3): 9.95


(2)
The following is a DFT calculation (PBE-GGA) of an optimized crystal structure of CsCd6Hg6.

Geometry as POSCAR:
```
CsCd6Hg6
1.0
-5.9007 -1.7712 -0.4708
-0.8617 -6.6586 -4.6950
-2.0684 -5.4234 5.7819
Cd Hg Cs
6 6 1
Direct
0.5000 0.7535 0.2465 Cd
0.5000 0.0000 0.5000 Cd
0.0000 0.5000 0.0000 Cd
0.0000 0.0000 0.5000 Cd
0.5000 0.5000 0.0000 Cd
0.5000 0.2465 0.7535 Cd
0.6958 0.8042 0.8042 Hg
0.3042 0.1958 0.1958 Hg
0.3468 0.6532 0.6532 Hg
0.0000 0.3540 0.6460 Hg
0.0000 0.6460 0.3540 Hg
0.6532 0.3468 0.3468 Hg
0.0000 0.0000 0.0000 Cs
```

Energy (eV per atom): -0.679
Formation energy from the elements (eV per atom): -0.052
Mass density (g/cm3): 9.39


(3)
The following is a DFT calculation (PBE-GGA) of an optimized crystal structure of KBaAs2Se.

Geometry as POSCAR:
```
KBaAs2Se
1.0
-1.2379 3.1920 4.3072
-4.4744 -3.0502 0.9745
3.0558 -3.3976 3.3962
As Ba K Se
2 1 1 1
Direct
0.0000 0.5000 0.0000 As
0.5000 0.0000 0.0000 As
0.5000 0.5000 0.5000 Ba
0.0000 0.0000 0.0000 K
0.0000 0.0000 0.5000 Se
```

Energy (eV per atom): -2.925
Mass density (g/cm3): 3.90
ΔE_f (raw) (eV/atom): 0.236


(4)
The following is a DFT calculation (PBE-GGA) of an optimized crystal structure of CsCa2Ge2.

Geometry as POSCAR:
```
CsCa2Ge2
1.0
8.7174 0.0000 0.0000
0.0000 8.7174 0.0000
0.0000 0.0000 4.3474
Ge Ca Cs
4 4 2
Direct
0.6055 0.1055 0.0000 Ge
0.1055 0.3945 0.0000 Ge
0.8945 0.6055 0.0000 Ge
0.3945 0.8945 0.0000 Ge
0.3483 0.1517 0.5000 Ca
0.1517 0.6517 0.5000 Ca
0.6517 0.8483 0.5000 Ca
0.8483 0.3483 0.5000 Ca
0.5000 0.5000 0.0000 Cs
0.0000 0.0000 0.0000 Cs
```

Energy (eV per atom): -3.001
Formation energy from the elements (eV per atom): -0.183
Mass density (g/cm3): 3.60


(5)
The following is a DFT calculation (PBE-GGA) of an optimized crystal structure of NpBiTe.

Geometry as POSCAR:
```
NpBiTe
1.0
-0.2810 -3.9659 0.4745
3.9938 -0.2855 -0.0212
-1.7830 2.7573 5.0960
Te Np Bi
1 1 1
Direct
0.0187 0.0187 0.0374 Te
0.6560 0.6560 0.3120 Np
0.3253 0.3253 0.6506 Bi
```

Energy (eV per atom): -6.874
Mass density (g/cm3): 11.08
ΔE_f (raw) (eV/atom): -0.219


(6)
The following is a DFT calculation (PBE-GGA) of an optimized crystal structure of TiNb4Mo2.

Geometry as POSCAR:
```
TiNb4Mo2
1.0
6.3599 0.0001 -0.0001
3.1800 4.5265 -0.0001
3.1799 0.0000 4.5264
Mo Ti Nb
2 1 4
Direct
0.5000 0.5000 0.5000 Mo
0.0000 0.5000 0.5000 Mo
0.0000 0.0000 0.0000 Ti
0.0000 0.0001 0.5000 Nb
0.0000 0.5000 0.0000 Nb
0.5000 0.5000 0.0001 Nb
0.5000 0.0000 0.5000 Nb
```

Energy (eV per atom): -9.695
Formation energy from the elements (eV per atom): 0.282
Mass density (g/cm3): 7.79